(1)
First-principles (PBE) data for an optimized crystal structure of PmYGaRh, as listed in Alexandria.

Values from the calculation:
The value obtained for the energy relative to the elements is -14.24 kcal/mol of atoms.

abc: 7.1241 7.1241 7.1241
angles: 90.00 90.00 90.00
Last column: nearest neighbours and their distance in Å.
Space group F-43m (No. 216)
Asymmetric unit:
Pm: 0.0000 0.0000 0.0000 [4 per cell]  4 Rh 3.08, 4 Ga 3.08
Y: 0.0000 0.0000 0.5000 [4 per cell]  4 Rh 3.08, 4 Ga 3.08
Ga: 0.2500 0.2500 0.2500 [4 per cell]  4 Pm 3.08, 4 Y 3.08
Rh: 0.2500 0.2500 0.7500 [4 per cell]  4 Pm 3.08, 4 Y 3.08

***

(2)
First-principles (PBE) data for an optimized crystal structure of Zr2HgPIr, as listed in Alexandria.

Values from the calculation:
The value obtained for the energy relative to the elements is 32.26 kcal/mol of atoms.

abc: 5.1962 5.1962 4.8902
angles: 90.00 90.00 90.00
Last column: nearest neighbours and their distance in Å.
Space group P4/mmm (No. 123)
Asymmetric unit:
Zr: 0.0000 0.5000 0.0000 [2 per cell]  2 Hg 2.60
Hg: 0.0000 0.0000 0.0000 [1 per cell]  2 Ir 2.45, 4 Zr 2.60
P: 0.5000 0.5000 0.5000 [1 per cell]  8 Zr 3.57, 4 Ir 3.67
Ir: 0.0000 0.0000 0.5000 [1 per cell]  2 Hg 2.45

***

(3)
First-principles (PBE) data for an optimized crystal structure of CsReSN2, as listed in Alexandria.

abc: 4.1608 4.1608 6.5601
angles: 90.00 90.00 90.00
Last column: nearest neighbours and their distance in Å.
Space group P4/mmm (No. 123)
Asymmetric unit:
Cs: 0.0000 0.0000 0.0000 [1 per cell]  4 N 2.08
Re: 0.5000 0.5000 0.5000 [1 per cell]  4 S 2.94
S: 0.0000 0.0000 0.5000 [1 per cell]  4 Re 2.94, 2 Cs 3.28
N: 0.0000 0.5000 0.0000 [2 per cell]  2 Cs 2.08

***

(4)
First-principles (PBE) data for an optimized crystal structure of CsUCuCl6, as listed in Alexandria.

abc: 6.7065 11.6208 7.9863
angles: 90.00 90.01 90.00
Last column: nearest neighbours and their distance in Å.
Space group C2 (No. 5)
Asymmetric unit:
Cs: 0.0000 0.0000 0.0000 [2 per cell]  6 Cl 3.50
U: 0.0000 0.6667 0.5000 [2 per cell]  6 Cl 2.65
Cu: 0.0000 0.3329 0.5000 [2 per cell]  6 Cl 2.57-2.58
Cl: 0.1314 0.4957 0.6897 [4 per cell]  1 Cu 2.58, 1 U 2.65
Cl: 0.1777 0.1866 0.6899 [4 per cell]  1 Cu 2.57, 1 U 2.65
Cl: 0.1910 0.8179 0.6897 [4 per cell]  1 Cu 2.57, 1 U 2.65

***

(5)
First-principles (PBE) data for an optimized crystal structure of Ac4AgRu, as listed in Alexandria.

Values from the calculation:
The value obtained for the energy relative to the elements is -3.28 kcal/mol of atoms.

abc: 9.6655 15.8659 7.3301
angles: 90.00 126.22 90.00
Last column: nearest neighbours and their distance in Å.
Space group C2/c (No. 15)
Asymmetric unit:
Ac: 0.1581 0.2056 0.1600 [8 per cell]  1 Ru 2.83
Ac: 0.2383 0.0454 0.7318 [8 per cell]  2 Ru 2.90-3.09
Ag: 0.0000 0.3823 0.7500 [4 per cell]  6 Ac 3.27-3.57
Ru: 0.0000 0.0784 0.2500 [4 per cell]  6 Ac 2.83-3.09

***

(6)
First-principles (PBE) data for an optimized crystal structure of SrBeBi2Au, as listed in Alexandria.

Values from the calculation:
The value obtained for the energy relative to the elements is 2.71 kcal/mol of atoms.

abc: 4.9100 4.9100 6.0156
angles: 90.00 90.00 90.00
Last column: nearest neighbours and their distance in Å.
Space group P4/mmm (No. 123)
Asymmetric unit:
Sr: 0.0000 0.0000 0.0000 [1 per cell]  2 Be 3.01
Be: 0.0000 0.0000 0.5000 [1 per cell]  4 Bi 2.45
Bi: 0.0000 0.5000 0.5000 [2 per cell]  2 Be 2.45
Au: 0.5000 0.5000 0.0000 [1 per cell]  4 Sr 3.47, 8 Bi 3.88

***

(7)
First-principles (PBE) data for an optimized crystal structure of Cr2RuBr, as listed in Alexandria.

abc: 3.0383 4.4796 5.2189
angles: 90.00 105.27 90.00
Last column: nearest neighbours and their distance in Å.
Space group Pm (No. 6)
Asymmetric unit:
Cr: 0.0000 0.0000 0.0000 [1 per cell]  3 Br 2.67-2.78, 4 Ru 2.72-2.75, 2 Cr 2.76
Cr: 0.1334 0.5000 0.3208 [1 per cell]  2 Ru 2.52-2.53, 2 Br 2.52, 2 Cr 2.76
Ru: 0.4554 0.5000 0.9206 [1 per cell]  6 Cr 2.52-2.75
Br: 0.2663 0.0000 0.5511 [1 per cell]  5 Cr 2.52-2.78

***

(8)
First-principles (PBE) data for an optimized crystal structure of Rb2SmYTe4, as listed in Alexandria.

abc: 7.9072 4.5664 8.9540
angles: 90.00 107.11 90.00
Last column: nearest neighbours and their distance in Å.
Space group P2/m (No. 10)
Asymmetric unit:
Rb: 0.0000 0.0000 0.0000 [1 per cell]  6 Te 3.69
Rb: 0.5000 0.5000 0.0000 [1 per cell]  6 Te 3.65-3.66
Sm: 0.0000 0.5000 0.5000 [1 per cell]  6 Te 3.17
Y: 0.5000 0.0000 0.5000 [1 per cell]  6 Te 3.13
Te: 0.2379 0.0000 0.7023 [2 per cell]  1 Y 3.13, 2 Sm 3.17
Te: 0.2705 0.5000 0.2996 [2 per cell]  2 Y 3.13, 1 Sm 3.17

***

(9)
First-principles (PBE) data for an optimized crystal structure of Ga2OsPt, as listed in Alexandria.

Values from the calculation:
The value obtained for the energy relative to the elements is 2.96 kcal/mol of atoms.

abc: 2.8299 2.8299 27.7993
angles: 90.00 90.00 120.00
Last column: nearest neighbours and their distance in Å.
Space group R-3m (No. 166, hexagonal axes)
Asymmetric unit:
Ga: 0.0000 0.0000 0.0907 [6 per cell]  1 Os 2.52, 3 Pt 2.67
Os: 0.0000 0.0000 0.0000 [3 per cell]  2 Ga 2.52
Pt: 0.0000 0.0000 0.5000 [3 per cell]  6 Ga 2.67, 6 Pt 2.83

***

(10)
First-principles (PBE) data for an optimized crystal structure of Rb5Ce2F12, as listed in Alexandria.

abc: 14.1167 8.2561 6.9760
angles: 90.00 111.36 90.00
Last column: nearest neighbours and their distance in Å.
Space group C2/m (No. 12)
Asymmetric unit:
Rb: 0.0000 0.0000 0.0000 [2 per cell]  6 F 2.76-2.96
Rb: 0.1820 0.5000 0.0890 [4 per cell]  5 F 2.74-3.06
Rb: 0.2430 0.0000 0.3588 [4 per cell]  4 F 2.67-2.78
Ce: 0.0000 0.2490 0.5000 [4 per cell]  8 F 2.29-2.43
F: 0.0682 0.0000 0.4246 [4 per cell]  2 Ce 2.41, 3 F 2.51-2.67, 1 Rb 2.67
F: 0.0710 0.5000 0.6741 [4 per cell]  2 Ce 2.43, 3 F 2.52-2.71, 1 Rb 2.72
F: 0.1189 0.2998 0.3533 [8 per cell]  1 Ce 2.30
F: 0.1212 0.1937 0.8154 [8 per cell]  1 Ce 2.29

***

(11)
First-principles (PBE) data for an optimized crystal structure of Cs2CdGaBr6, as listed in Alexandria.

abc: 7.8510 7.8510 11.1397
angles: 90.00 90.00 90.00
Last column: nearest neighbours and their distance in Å.
Space group I4/mmm (No. 139)
Asymmetric unit:
Cs: 0.0000 0.5000 0.2500 [4 per cell]  12 Br 3.93
Cd: 0.0000 0.0000 0.0000 [2 per cell]  6 Br 2.82-2.83
Ga: 0.0000 0.0000 0.5000 [2 per cell]  6 Br 2.73-2.74
Br: 0.0000 0.0000 0.2541 [4 per cell]  1 Ga 2.74, 1 Cd 2.83
Br: 0.2457 0.2457 0.5000 [8 per cell]  1 Ga 2.73, 1 Cd 2.82

***

(12)
First-principles (PBE) data for an optimized crystal structure of Ti5P2H2, as listed in Alexandria.

abc: 3.9897 3.9897 7.0462
angles: 90.00 90.00 90.00
Last column: nearest neighbours and their distance in Å.
Space group P4/mmm (No. 123)
Asymmetric unit:
Ti: 0.0000 0.0000 0.0000 [1 per cell]  2 H 1.93
Ti: 0.0000 0.5000 0.2727 [4 per cell]  2 H 1.99
P: 0.5000 0.5000 0.0000 [1 per cell]  12 Ti 2.77-2.82
P: 0.5000 0.5000 0.5000 [1 per cell]  8 Ti 2.56
H: 0.0000 0.0000 0.2732 [2 per cell]  5 Ti 1.93-1.99

***

(13)
First-principles (PBE) data for an optimized crystal structure of NpPd2Au8, as listed in Alexandria.

Values from the calculation:
The value obtained for the energy relative to the elements is -0.75 kcal/mol of atoms.

abc: 14.4294 7.0109 4.4234
angles: 90.00 107.50 90.00
Last column: nearest neighbours and their distance in Å.
Space group C2/m (No. 12)
Asymmetric unit:
Np: 0.0000 0.0000 0.0000 [2 per cell]  12 Au 2.96-3.10
Pd: 0.1776 0.5000 0.6777 [4 per cell]  8 Au 2.74-2.87
Au: 0.0000 0.2971 0.5000 [4 per cell]  2 Pd 2.83, 3 Au 2.85-3.00, 2 Np 3.04
Au: 0.1574 0.0000 0.6563 [4 per cell]  8 Au 2.91-3.00, 2 Np 3.09-3.10, 2 Pd 3.16-3.18
Au: 0.1657 0.2700 0.1656 [8 per cell]  3 Pd 2.74-2.87, 3 Au 2.91-2.92, 1 Np 2.96

***

The evaluated total energy for the records listed, in turn: -96.3 -24.7 -18.3 -81.6 -117.7 -15.9 -27.4 -36.9 -68.4 -204.4 -54.9 -62.9 -99.8 eV/cell.